(1)
# Tl4AuCl6, relaxed, DFT PBE-GGA
# mass density = 5.33 g/cm³
# raw formation energy = -0.77 eV/atom
# total DFT energy (no corrections) = -0.2160 Ry per atom
data_Tl4AuCl6
_chemical_formula_sum 'Tl16 Au4 Cl24'
_cell_length_a 16.339
_cell_length_b 6.611
_cell_length_c 16.321
_cell_angle_alpha 90.00
_cell_angle_beta 119.79
_cell_angle_gamma 90.00
_symmetry_space_group_name_H-M 'C 1 c 1'
_symmetry_Int_Tables_number 9
_symmetry_space_group_name_Hall 'C -2yc'
loop_
_atom_site_label
_atom_site_type_symbol
_atom_site_fract_x
_atom_site_fract_y
_atom_site_fract_z
Tl1 Tl 0.000 0.114 0.000
Tl2 Tl 0.056 0.360 0.792
Tl3 Tl 0.220 0.150 0.350
Tl4 Tl 0.314 0.301 0.715
Au1 Au 0.295 0.210 0.064
Cl1 Cl 0.042 0.072 0.356
Cl2 Cl 0.116 0.114 0.673
Cl3 Cl 0.170 0.446 0.029
Cl4 Cl 0.294 0.299 0.914
Cl5 Cl 0.336 0.191 0.234
Cl6 Cl 0.394 0.082 0.587



(2)
# TlAu2Cl, relaxed, DFT PBE-GGA
# mass density = 11.32 g/cm³
# relative energy among the computed polymorphs = 220 meV per atom
# raw formation energy = 0.03 eV/atom
# total DFT energy (no corrections) = -0.1954 Ry per atom
data_TlAu2Cl
_chemical_formula_sum 'Tl4 Au8 Cl4'
_cell_length_a 7.991
_cell_length_b 7.991
_cell_length_c 5.825
_cell_angle_alpha 90.00
_cell_angle_beta 90.00
_cell_angle_gamma 90.00
_symmetry_space_group_name_H-M 'I -4 2 d'
_symmetry_Int_Tables_number 122
_symmetry_space_group_name_Hall 'I -4 2bw'
loop_
_atom_site_label
_atom_site_type_symbol
_atom_site_fract_x
_atom_site_fract_y
_atom_site_fract_z
Tl1 Tl 0.000 0.000 0.000
Au1 Au 0.248 0.250 0.625
Cl1 Cl 0.000 0.000 0.500



(3)
# TlAuCl2, relaxed, DFT PBE-GGA
# mass density = 6.98 g/cm³
# relative energy among the computed polymorphs = 194 meV per atom
# raw formation energy = -0.43 eV/atom
# total DFT energy (no corrections) = -0.2033 Ry per atom
data_TlAuCl2
_chemical_formula_sum 'Tl1 Au1 Cl2'
_cell_length_a 4.003
_cell_length_b 3.929
_cell_length_c 7.158
_cell_angle_alpha 90.00
_cell_angle_beta 93.94
_cell_angle_gamma 90.00
_symmetry_space_group_name_H-M 'P 1 2/m 1'
_symmetry_Int_Tables_number 10
_symmetry_space_group_name_Hall '-P 2y'
loop_
_atom_site_label
_atom_site_type_symbol
_atom_site_fract_x
_atom_site_fract_y
_atom_site_fract_z
Tl1 Tl 0.000 0.000 0.000
Au1 Au 0.500 0.000 0.500
Cl1 Cl 0.463 0.500 0.741



(4)
# TlAu2Cl, relaxed, DFT PBE-GGA
# mass density = 11.23 g/cm³
# relative energy among the computed polymorphs = 272 meV per atom
# raw formation energy = 0.08 eV/atom
# total DFT energy (no corrections) = -0.1917 Ry per atom
data_TlAu2Cl
_chemical_formula_sum 'Tl1 Au2 Cl1'
_cell_length_a 3.997
_cell_length_b 3.997
_cell_length_c 5.866
_cell_angle_alpha 90.00
_cell_angle_beta 90.00
_cell_angle_gamma 90.00
_symmetry_space_group_name_H-M 'P 4/m m m'
_symmetry_Int_Tables_number 123
_symmetry_space_group_name_Hall '-P 4 2'
loop_
_atom_site_label
_atom_site_type_symbol
_atom_site_fract_x
_atom_site_fract_y
_atom_site_fract_z
Tl1 Tl 0.000 0.000 0.000
Au1 Au 0.500 0.500 0.235
Cl1 Cl 0.000 0.000 0.500



(5)
# TlAu2Cl, relaxed, DFT PBE-GGA
# mass density = 12.10 g/cm³
# relative energy among the computed polymorphs = 375 meV per atom
# raw formation energy = 0.19 eV/atom
# total DFT energy (no corrections) = -0.1841 Ry per atom
data_TlAu2Cl
_chemical_formula_sum 'Tl1 Au2 Cl1'
_cell_length_a 3.388
_cell_length_b 3.388
_cell_length_c 7.580
_cell_angle_alpha 90.00
_cell_angle_beta 90.00
_cell_angle_gamma 90.00
_symmetry_space_group_name_H-M 'P 4/m m m'
_symmetry_Int_Tables_number 123
_symmetry_space_group_name_Hall '-P 4 2'
loop_
_atom_site_label
_atom_site_type_symbol
_atom_site_fract_x
_atom_site_fract_y
_atom_site_fract_z
Tl1 Tl 0.000 0.000 0.000
Au1 Au 0.500 0.500 0.251
Cl1 Cl 0.000 0.000 0.500



(6)
# Tl3AuCl4, relaxed, DFT PBE-GGA
# mass density = 5.00 g/cm³
# relative energy among the computed polymorphs = 11 meV per atom
# raw formation energy = -0.78 eV/atom
# total DFT energy (no corrections) = -0.2204 Ry per atom
data_Tl3AuCl4
_chemical_formula_sum 'Tl6 Au2 Cl8'
_cell_length_a 8.642
_cell_length_b 11.187
_cell_length_c 6.534
_cell_angle_alpha 90.00
_cell_angle_beta 90.00
_cell_angle_gamma 90.00
_symmetry_space_group_name_H-M 'P m n 21'
_symmetry_Int_Tables_number 31
_symmetry_space_group_name_Hall 'P 2ac -2'
loop_
_atom_site_label
_atom_site_type_symbol
_atom_site_fract_x
_atom_site_fract_y
_atom_site_fract_z
Tl1 Tl 0.000 0.094 0.000
Tl2 Tl 0.237 0.334 0.499
Au1 Au 0.000 0.661 0.499
Cl1 Cl 0.000 0.140 0.499
Cl2 Cl 0.000 0.831 0.998
Cl3 Cl 0.234 0.341 0.999



(7)
# TlAuCl3, relaxed, DFT PBE-GGA
# mass density = 5.55 g/cm³
# raw formation energy = -0.01 eV/atom
# total DFT energy (no corrections) = -0.1651 Ry per atom
data_TlAuCl3
_chemical_formula_sum 'Tl1 Au1 Cl3'
_cell_length_a 5.336
_cell_length_b 5.336
_cell_length_c 5.336
_cell_angle_alpha 90.00
_cell_angle_beta 90.00
_cell_angle_gamma 90.00
_symmetry_space_group_name_H-M 'P m -3 m'
_symmetry_Int_Tables_number 221
_symmetry_space_group_name_Hall '-P 4 2 3'
loop_
_atom_site_label
_atom_site_type_symbol
_atom_site_fract_x
_atom_site_fract_y
_atom_site_fract_z
Tl1 Tl 0.000 0.000 0.000
Au1 Au 0.500 0.500 0.500
Cl1 Cl 0.000 0.000 0.500



(8)
# TlAu2Cl6, relaxed, DFT PBE-GGA
# mass density = 5.04 g/cm³
# relative energy among the computed polymorphs = 0 meV per atom
# raw formation energy = -0.34 eV/atom
# total DFT energy (no corrections) = -0.1885 Ry per atom
data_TlAu2Cl6
_chemical_formula_sum 'Tl4 Au8 Cl24'
_cell_length_a 11.076
_cell_length_b 13.497
_cell_length_c 7.323
_cell_angle_alpha 90.00
_cell_angle_beta 102.56
_cell_angle_gamma 90.00
_symmetry_space_group_name_H-M 'C 1 2/c 1'
_symmetry_Int_Tables_number 15
_symmetry_space_group_name_Hall '-C 2yc'
loop_
_atom_site_label
_atom_site_type_symbol
_atom_site_fract_x
_atom_site_fract_y
_atom_site_fract_z
Tl1 Tl 0.000 0.099 0.250
Au1 Au 0.127 0.493 0.288
Cl1 Cl 0.117 0.391 0.545
Cl2 Cl 0.134 0.215 0.128
Cl3 Cl 0.136 0.051 0.657



(9)
# TlAuCl2, relaxed, DFT PBE-GGA
# mass density = 4.71 g/cm³
# relative energy among the computed polymorphs = 0 meV per atom
# raw formation energy = -0.62 eV/atom
# total DFT energy (no corrections) = -0.2175 Ry per atom
data_TlAuCl2
_chemical_formula_sum 'Tl2 Au2 Cl4'
_cell_length_a 5.0880
_cell_length_b 5.0880
_cell_length_c 14.8423
_cell_angle_alpha 90.00
_cell_angle_beta 90.00
_cell_angle_gamma 120.00
_symmetry_space_group_name_H-M 'P 63/m m c'
_symmetry_Int_Tables_number 194
_symmetry_space_group_name_Hall '-P 6c 2c'
loop_
_atom_site_label
_atom_site_type_symbol
_atom_site_fract_x
_atom_site_fract_y
_atom_site_fract_z
Tl1 Tl 0.0000 0.0000 0.0000
Au1 Au 0.3333 0.6667 0.2500
Cl1 Cl 0.3333 0.6667 0.0957



(10)
# TlAuCl2, relaxed, DFT PBE-GGA
# mass density = 6.34 g/cm³
# relative energy among the computed polymorphs = 141 meV per atom
# raw formation energy = -0.48 eV/atom
# total DFT energy (no corrections) = -0.2072 Ry per atom
data_TlAuCl2
_chemical_formula_sum 'Tl1 Au1 Cl2'
_cell_length_a 4.604
_cell_length_b 4.336
_cell_length_c 6.589
_cell_angle_alpha 90.00
_cell_angle_beta 109.95
_cell_angle_gamma 90.00
_symmetry_space_group_name_H-M 'P 1 m 1'
_symmetry_Int_Tables_number 6
_symmetry_space_group_name_Hall 'P -2y'
loop_
_atom_site_label
_atom_site_type_symbol
_atom_site_fract_x
_atom_site_fract_y
_atom_site_fract_z
Tl1 Tl 0.000 0.000 0.000
Au1 Au 0.346 0.500 0.705
Cl1 Cl 0.246 0.000 0.509
Cl2 Cl 0.554 0.500 0.106



(11)
# Tl3AuCl4, relaxed, DFT PBE-GGA
# mass density = 5.15 g/cm³
# relative energy among the computed polymorphs = 0 meV per atom
# raw formation energy = -0.79 eV/atom
# total DFT energy (no corrections) = -0.2212 Ry per atom
data_Tl3AuCl4
_chemical_formula_sum 'Tl6 Au2 Cl8'
_cell_length_a 8.506
_cell_length_b 8.351
_cell_length_c 8.639
_cell_angle_alpha 90.00
_cell_angle_beta 90.00
_cell_angle_gamma 90.00
_symmetry_space_group_name_H-M 'P m n 21'
_symmetry_Int_Tables_number 31
_symmetry_space_group_name_Hall 'P 2ac -2'
loop_
_atom_site_label
_atom_site_type_symbol
_atom_site_fract_x
_atom_site_fract_y
_atom_site_fract_z
Tl1 Tl 0.000 0.033 0.000
Tl2 Tl 0.239 0.473 0.485
Au1 Au 0.000 0.800 0.279
Cl1 Cl 0.000 0.362 0.175
Cl2 Cl 0.000 0.682 0.816
Cl3 Cl 0.230 0.201 0.769



(12)
# TlAuCl6, relaxed, DFT PBE-GGA
# mass density = 3.86 g/cm³
# relative energy among the computed polymorphs = 0 meV per atom
# raw formation energy = -0.45 eV/atom
# total DFT energy (no corrections) = -0.1867 Ry per atom
data_TlAuCl6
_chemical_formula_sum 'Tl1 Au1 Cl6'
_cell_length_a 5.914
_cell_length_b 7.062
_cell_length_c 7.248
_cell_angle_alpha 64.40
_cell_angle_beta 75.54
_cell_angle_gamma 84.83
_symmetry_space_group_name_H-M 'P -1'
_symmetry_Int_Tables_number 2
_symmetry_space_group_name_Hall '-P 1'
loop_
_atom_site_label
_atom_site_type_symbol
_atom_site_fract_x
_atom_site_fract_y
_atom_site_fract_z
Tl1 Tl 0.000 0.000 0.000
Au1 Au 0.500 0.500 0.000
Cl1 Cl 0.071 0.813 0.339
Cl2 Cl 0.278 0.390 0.839
Cl3 Cl 0.411 0.844 0.798